# 1
TiSb2OsF: relaxed, GGA-PBEsol.

Cell: 4.8128 4.8128 3.7994 Å, 90.00 90.00 90.00°
Element x y z (fractional)
Ti  0.0000  0.0000  0.0000
Sb  0.0000  0.5000  0.5000
Sb  0.5000  0.0000  0.5000
Os  0.5000  0.5000  0.0000
F  0.0000  0.0000  0.5000

Values from the calculation:
VASP energy = -30.70 eV for the cell shown
DOS at the Fermi energy = 1.01 states/eV per atom
ΔE_f (raw) = 0.175 eV per atom

# 2
ScOsF2: relaxed, GGA-PBEsol.

Cell: 2.7532 2.7532 21.9633 Å, 90.00 90.00 120.00°
Element x y z (fractional)
Sc  0.0000  0.0000  0.0000
Sc  0.3333  0.6667  0.6667
Sc  0.6667  0.3333  0.3333
Os  0.0000  0.0000  0.5000
Os  0.3333  0.6667  0.1667
Os  0.6667  0.3333  0.8333
F  0.0000  0.0000  0.4035
F  0.0000  0.0000  0.5965
F  0.3333  0.6667  0.0701
F  0.3333  0.6667  0.2632
F  0.6667  0.3333  0.7368
F  0.6667  0.3333  0.9299

Values from the calculation:
VASP energy = -83.86 eV for the cell shown
DOS at the Fermi energy = 0.72 states/eV per atom
ΔE_f (raw) = -1.319 eV per atom

# 3
OsSe2F: relaxed, GGA-PBEsol.

Cell: 3.8146 3.8146 19.4734 Å, 90.00 90.00 120.00°
Element x y z (fractional)
Os  0.0000  0.0000  0.0000
Os  0.3333  0.6667  0.6667
Os  0.6667  0.3333  0.3333
Se  0.0000  0.0000  0.3907
Se  0.0000  0.0000  0.6093
Se  0.3333  0.6667  0.0574
Se  0.3333  0.6667  0.2759
Se  0.6667  0.3333  0.7241
Se  0.6667  0.3333  0.9426
F  0.0000  0.0000  0.5000
F  0.3333  0.6667  0.1667
F  0.6667  0.3333  0.8333

Values from the calculation:
VASP energy = -69.35 eV for the cell shown
DOS at the Fermi energy = 0.42 states/eV per atom
ΔE_f (raw) = -0.318 eV per atom